VASP calculation (PBE-GGA) on a geometry-optimized Li2Pm3Pd3 structure.

Values from the calculation:
- magnetization (μB per atom) = 0.00
- formation energy from the elements (eV per formula unit) = -4.6
- E (eV per cell) = -76.48

The structure in POSCAR format:
```
Li2Pm3Pd3
1.0
5.666 0.000 0.000
0.000 8.557 0.000
0.000 -4.279 7.411
Li Pm Pd
4 6 6
Direct
0.000 0.333 0.667
0.500 0.667 0.333
0.000 0.667 0.333
0.500 0.333 0.667
0.750 0.265 0.000
0.750 0.735 0.735
0.750 0.000 0.265
0.250 0.735 0.000
0.250 0.265 0.265
0.250 0.000 0.735
0.750 0.606 0.000
0.750 0.394 0.394
0.750 0.000 0.606
0.250 0.394 0.000
0.250 0.606 0.606
0.250 0.000 0.394
```